Material: HoRu2W
Method: DFT, PBE-GGA
State: relaxed

Geometry as POSCAR:
```
HoRu2W
1.0
3.119 0.000 0.000
0.000 3.119 0.000
0.000 0.000 7.144
Ho Ru W
1 2 1
Direct
0.000 0.000 0.000
0.500 0.500 0.289
0.500 0.500 0.711
0.000 0.000 0.500
```

Values from the calculation:
Magnetization   0.0 μB per cell
ρ   13.17 Mg/m³
Energy above the lowest structure with this stoichiometry   0.0000 eV/atom
ΔH_f (0 K)   -0.11 eV per atom
Total energy   -9.134 eV/atom